Compound: K2BaInI5
Source: Alexandria
Functional: PBE-GGA
Structure: relaxed

- M_tot: 0.00 μB per formula unit
- Raw formation energy: -1318 meV per atom

Cell lengths 10.752, 10.752, 18.026 Å; angles 90.00, 90.00, 152.90 degrees
Sites, in units of the cell vectors:
K (0.056, 0.944, 0.500)
K (0.146, 0.854, 0.089)
K (0.854, 0.146, 0.589)
K (0.944, 0.056, 0.000)
Ba (0.256, 0.744, 0.861)
Ba (0.744, 0.256, 0.361)
In (0.445, 0.555, 0.276)
In (0.555, 0.445, 0.776)
I (0.094, 0.906, 0.895)
I (0.238, 0.762, 0.498)
I (0.265, 0.735, 0.232)
I (0.418, 0.582, 0.865)
I (0.473, 0.527, 0.606)
I (0.527, 0.473, 0.106)
I (0.582, 0.418, 0.365)
I (0.735, 0.265, 0.732)
I (0.762, 0.238, 0.998)
I (0.906, 0.094, 0.395)